Record 1
PmPr3Tm after structural relaxation, computed with GGA-PBE.

Geometry as POSCAR:
```
PmPr3Tm
1.0
4.0845 -7.1127 0.0000
4.0845 7.1127 0.0000
0.0000 0.0000 6.2285
Pm Pr Tm
2 6 2
direct
0.2002 0.7998 0.7500
0.7998 0.2002 0.2500
0.0000 0.0000 0.0000
0.0000 0.0000 0.5000
0.1979 0.4030 0.7500
0.4030 0.1979 0.2500
0.5970 0.8021 0.7500
0.8021 0.5970 0.2500
0.3293 0.6707 0.2500
0.6707 0.3293 0.7500
```

Output
For the energy above the most stable polymorph in this dataset, the calculation gives 1.00 eV/f.u. Its density of states at the Fermi level is 4.0 states/eV/f.u. The calculation puts the calculated formation energy at 159.9 kJ/mol of formula units. The value obtained for the density is 6.8 Mg/m³.

Record 2
PmPr5Tm3 after structural relaxation, computed with GGA-PBE.

Geometry as POSCAR:
```
PmPr5Tm3
1.0
10.1567 -3.1583 0.0000
10.1567 3.1583 0.0000
-6.2121 0.0000 9.8688
Pm Pr Tm
2 10 6
direct
0.1176 0.8824 0.7500
0.8824 0.1176 0.2500
0.0022 0.6388 0.1665
0.1796 0.5380 0.8403
0.3612 0.9978 0.3335
0.3988 0.6012 0.2500
0.4620 0.8204 0.6597
0.5380 0.1796 0.3403
0.6012 0.3988 0.7500
0.6388 0.0022 0.6665
0.8204 0.4620 0.1597
0.9978 0.3612 0.8335
0.0000 0.0000 0.0000
0.0000 0.0000 0.5000
0.0499 0.5984 0.4733
0.4016 0.9501 0.0267
0.5984 0.0499 0.9733
0.9501 0.4016 0.5267
```

Output
For the energy above the most stable polymorph in this dataset, the calculation gives 0.00 eV/f.u. Its density of states at the Fermi level is 13.3 states/eV/f.u. The calculation puts the calculated formation energy at 240.1 kJ/mol of formula units. The value obtained for the density is 7.1 Mg/m³.